Si2H6S | PBEsol | relaxed

Cell lengths 7.407, 8.327, 13.603 Å; angles 90.00, 90.00, 90.00 degrees
Fractional coordinates of all 72 atoms:
H (0.873, 0.939, 0.559)
H (0.626, 0.344, 0.758)
H (0.446, 0.372, 0.197)
H (0.438, 0.630, 0.503)
H (0.562, 0.870, 0.503)
H (0.826, 0.251, 0.580)
H (0.674, 0.751, 0.920)
H (0.873, 0.439, 0.441)
H (0.389, 0.489, 0.666)
H (0.889, 0.511, 0.834)
H (0.438, 0.130, 0.497)
H (0.389, 0.989, 0.334)
H (0.054, 0.872, 0.303)
H (0.627, 0.439, 0.941)
H (0.611, 0.511, 0.334)
H (0.127, 0.061, 0.441)
H (0.889, 0.011, 0.166)
H (0.626, 0.844, 0.242)
H (0.374, 0.156, 0.758)
H (0.126, 0.156, 0.258)
H (0.946, 0.628, 0.303)
H (0.946, 0.128, 0.697)
H (0.627, 0.939, 0.059)
H (0.062, 0.130, 0.997)
H (0.054, 0.372, 0.697)
H (0.446, 0.872, 0.803)
H (0.374, 0.656, 0.242)
H (0.874, 0.344, 0.258)
H (0.111, 0.989, 0.834)
H (0.126, 0.656, 0.742)
H (0.874, 0.844, 0.742)
H (0.062, 0.630, 0.003)
H (0.373, 0.561, 0.059)
H (0.674, 0.251, 0.080)
H (0.174, 0.749, 0.420)
H (0.611, 0.011, 0.666)
H (0.554, 0.128, 0.197)
H (0.826, 0.751, 0.420)
H (0.938, 0.370, 0.997)
H (0.554, 0.628, 0.803)
H (0.174, 0.249, 0.580)
H (0.127, 0.561, 0.559)
H (0.373, 0.061, 0.941)
H (0.326, 0.249, 0.080)
H (0.326, 0.749, 0.920)
H (0.562, 0.370, 0.497)
H (0.111, 0.489, 0.166)
H (0.938, 0.870, 0.003)
S (0.735, 0.598, 0.124)
S (0.235, 0.402, 0.376)
S (0.265, 0.402, 0.876)
S (0.765, 0.098, 0.376)
S (0.765, 0.598, 0.624)
S (0.235, 0.902, 0.624)
S (0.265, 0.902, 0.124)
S (0.735, 0.098, 0.876)
Si (0.438, 0.995, 0.723)
Si (0.062, 0.995, 0.223)
Si (0.755, 0.894, 0.475)
Si (0.938, 0.505, 0.223)
Si (0.255, 0.606, 0.975)
Si (0.245, 0.106, 0.525)
Si (0.438, 0.495, 0.277)
Si (0.562, 0.005, 0.277)
Si (0.755, 0.394, 0.525)
Si (0.745, 0.894, 0.975)
Si (0.745, 0.394, 0.025)
Si (0.245, 0.606, 0.475)
Si (0.562, 0.505, 0.723)
Si (0.938, 0.005, 0.777)
Si (0.255, 0.106, 0.025)
Si (0.062, 0.495, 0.777)


Si2H2S3 | PBEsol | relaxed

Cell lengths 7.583, 7.583, 8.575 Å; angles 90.00, 90.00, 90.00 degrees
Fractional coordinates of all 28 atoms:
Si (0.432, 0.710, 0.636)
Si (0.790, 0.068, 0.136)
Si (0.210, 0.932, 0.136)
Si (0.568, 0.290, 0.636)
Si (0.932, 0.790, 0.864)
Si (0.068, 0.210, 0.864)
Si (0.710, 0.568, 0.364)
Si (0.290, 0.432, 0.364)
H (0.386, 0.864, 0.736)
H (0.136, 0.386, 0.264)
H (0.364, 0.886, 0.236)
H (0.614, 0.136, 0.736)
H (0.864, 0.614, 0.264)
H (0.636, 0.114, 0.236)
H (0.886, 0.636, 0.764)
H (0.114, 0.364, 0.764)
S (0.500, 0.500, 0.209)
S (0.798, 0.348, 0.501)
S (0.202, 0.652, 0.501)
S (0.000, 0.000, 0.709)
S (0.348, 0.202, 0.499)
S (0.298, 0.152, 0.999)
S (0.000, 0.000, 0.291)
S (0.500, 0.500, 0.791)
S (0.152, 0.702, 0.001)
S (0.652, 0.798, 0.499)
S (0.848, 0.298, 0.001)
S (0.702, 0.848, 0.999)


Sr2H2S | PBEsol | relaxed

Cell lengths 3.800, 3.800, 6.852 Å; angles 106.10, 106.10, 90.00 degrees
Fractional coordinates of all 5 atoms:
H (0.750, 0.250, 0.500)
H (0.250, 0.750, 0.500)
S (0.000, 0.000, 0.000)
Sr (0.634, 0.634, 0.267)
Sr (0.366, 0.366, 0.733)


TaHS3 | PBEsol | relaxed

Cell lengths 3.976, 3.976, 3.976 Å; angles 90.00, 90.00, 90.00 degrees
Fractional coordinates of all 5 atoms:
H (0.000, 0.000, 0.000)
Ta (0.500, 0.500, 0.500)
S (0.000, 0.000, 0.500)
S (0.500, 0.000, 0.000)
S (0.000, 0.500, 0.000)


Te2H2S | PBEsol | relaxed

Cell lengths 3.519, 6.862, 6.862 Å; angles 90.00, 90.00, 90.00 degrees
Fractional coordinates of all 10 atoms:
H (0.000, 0.893, 0.607)
H (0.000, 0.393, 0.893)
H (0.000, 0.107, 0.393)
H (0.000, 0.607, 0.107)
Te (0.500, 0.304, 0.804)
Te (0.500, 0.696, 0.196)
Te (0.500, 0.196, 0.304)
Te (0.500, 0.804, 0.696)
S (0.000, 0.500, 0.500)
S (0.000, 0.000, 0.000)


TiHS2 | PBEsol | relaxed

Cell lengths 3.386, 3.386, 6.391 Å; angles 74.64, 74.64, 60.00 degrees
Fractional coordinates of all 4 atoms:
H (0.000, 0.000, 0.000)
S (0.911, 0.911, 0.266)
S (0.089, 0.089, 0.734)
Ti (0.500, 0.500, 0.500)


Ti3HS | PBEsol | relaxed

Cell lengths 3.867, 3.867, 3.867 Å; angles 90.00, 90.00, 90.00 degrees
Fractional coordinates of all 5 atoms:
Ti (0.000, 0.500, 0.000)
Ti (0.000, 0.000, 0.500)
Ti (0.500, 0.000, 0.000)
H (0.000, 0.000, 0.000)
S (0.500, 0.500, 0.500)


TlHS2 | PBEsol | relaxed

Cell lengths 3.984, 3.984, 6.494 Å; angles 72.14, 72.14, 60.00 degrees
Fractional coordinates of all 4 atoms:
S (0.910, 0.910, 0.269)
S (0.090, 0.090, 0.731)
Tl (0.500, 0.500, 0.500)
H (0.000, 0.000, 0.000)


Number 1: E_tot -4.04 eV per atom, DOS(E_F) 0.0000 states/eV/atom. Number 2: E_tot -4.89 eV per atom, DOS(E_F) 0.0000 states/eV/atom. Number 3: E_tot -4.07 eV per atom, DOS(E_F) 0.0000 states/eV/atom. Number 4: E_tot -5.17 eV per atom, DOS(E_F) 0.6514 states/eV/atom. Number 5: E_tot -3.12 eV per atom, DOS(E_F) 0.3968 states/eV/atom. Number 6: E_tot -6.03 eV per atom, DOS(E_F) 0.3924 states/eV/atom. Number 7: E_tot -7.03 eV per atom, DOS(E_F) 0.8645 states/eV/atom. Number 8: E_tot -3.70 eV per atom, DOS(E_F) 0.4236 states/eV/atom.